A relaxed structure of BiMo2Au. Source: the Alexandria database, functional GGA-PBE.

Computed properties:
For the total magnetization, the calculation gives 4.31 Bohr magnetons per cell. The formation energy comes out at 0.9673 eV per atom. The value obtained for the raw total energy is -6.238 eV/atom. Its symmetry is No. 122.

Lattice parameters (Å, degrees): 7.647 7.647 6.091 51.11 51.11 90.00
Atoms (fractional coordinates):
1 Mo 0.618 0.125 0.250
2 Mo 0.132 0.625 0.250
3 Mo 0.375 0.382 0.750
4 Mo 0.875 0.868 0.750
5 Au 0.500 0.500 0.000
6 Au 0.250 0.750 0.500
7 Bi 0.000 0.000 0.000
8 Bi 0.750 0.250 0.500

***

A relaxed structure of TcBiMo2Au. Source: the Alexandria database, functional GGA-PBE.

Computed properties:
For the distance to the lowest polymorph of the same formula, the calculation gives 0.00 eV/f.u. For the total magnetization, the calculation gives 1.42 Bohr magnetons per cell. The formation energy comes out at 1.2704 eV per atom. The value obtained for the raw total energy is -6.567 eV/atom. Its symmetry is No. 123.

Lattice parameters (Å, degrees): 4.701 5.175 4.701 90.00 90.00 90.00
Atoms (fractional coordinates):
1 Mo 0.000 0.000 0.500
2 Mo 0.500 0.000 0.000
3 Au 0.000 0.500 0.000
4 Bi 0.500 0.500 0.500
5 Tc 0.000 0.000 0.000

***

A relaxed structure of TcBiMo2Au. Source: the Alexandria database, functional GGA-PBE.

Computed properties:
For the distance to the lowest polymorph of the same formula, the calculation gives 6.03 eV/f.u. For the total magnetization, the calculation gives 0.00 Bohr magnetons per cell. The formation energy comes out at 2.4755 eV per atom. The value obtained for the raw total energy is -5.362 eV/atom. Its symmetry is No. 123.

Lattice parameters (Å, degrees): 5.003 4.920 5.003 90.00 90.00 90.00
Atoms (fractional coordinates):
1 Mo 0.000 0.000 0.500
2 Mo 0.500 0.000 0.000
3 Au 0.500 0.500 0.500
4 Bi 0.000 0.000 0.000
5 Tc 0.000 0.500 0.000